Here is TiCrGeO6 after structural relaxation from Alexandria via LeMat-Bulk. Energies are from GGA+U.

```
18
Lattice="-3.1981 -2.0049 2.5191 -1.5084 -2.2038 -3.6690 5.5705 -6.7037 1.7365" Properties=species:S:1:pos:R:3 pbc="T T T"
O 0.4419 -3.4902 0.2328
Cr 0.0018 -0.0022 0.0006
Ge 1.8568 -2.2345 0.5788
Ti 3.7469 -4.5091 1.1680
O 1.7779 -7.6257 2.7250
O 2.2724 -5.7786 0.8062
O -0.1022 -5.3687 2.1596
O 0.9209 -5.4891 -1.5872
Cr 0.4339 -5.4584 0.2939
Ti -1.3916 -3.2616 -0.2752
O -1.4439 -5.1765 -0.2279
O -1.9359 -3.1722 1.6254
O 0.4681 -7.3921 0.3653
Ge 2.2888 -7.6907 0.8721
O 4.1229 -7.9506 1.3813
O 2.2662 -9.6110 0.9276
O -0.8940 -3.2948 -2.1903
O 2.7906 -7.7448 -0.9837
```

Properties
* total magnetic moment: 3.999 μB per cell
* DFT total energy: -7.57 eV/atom
* space-group type: P4_2nm, No. 102

=====

Here is TlCrGeO4 after structural relaxation from Alexandria via LeMat-Bulk. Energies are from GGA+U.

```
7
Lattice="-4.8143 1.9077 2.8786 -0.2481 -0.3432 5.9096 0.2637 4.9352 3.2677" Properties=species:S:1:pos:R:3 pbc="T T T"
Cr -2.3993 3.2498 6.0280
Tl -3.5990 4.8747 9.0419
O -4.2567 3.3951 5.9584
O -1.9104 2.2385 7.5159
O -1.6474 4.9508 6.1583
O -1.7829 2.4149 4.4792
Ge -1.1997 1.6249 3.0140
```

Properties
* total magnetic moment: 3.000 μB per cell
* DFT total energy: -6.17 eV/atom
* space-group type: F-43m, No. 216

=====

Here is Tl2CrGeO4 after structural relaxation from Alexandria via LeMat-Bulk. Energies are from GGA+U.

```
16
Lattice="5.6204 0.0000 0.0000 2.8102 5.9817 0.0000 2.8102 0.0000 9.9020" Properties=species:S:1:pos:R:3 pbc="T T T"
Cr 0.0000 0.0000 0.0000
O 4.0541 1.1847 0.5813
O 8.5918 4.1755 5.5323
O 2.9714 1.8061 4.3697
Tl 2.8102 0.0000 6.2420
Tl 7.0255 2.9908 8.6110
O 5.4592 4.1755 4.3697
Cr 7.0255 2.9908 4.9510
Tl 7.0255 2.9908 1.2910
Ge 2.8102 0.0000 0.0000
Tl 5.6204 0.0000 3.6600
O 4.3765 4.7970 0.5813
O 9.6745 4.7970 9.3208
Ge 4.2153 2.9908 4.9510
O 5.4592 1.8061 5.5323
O 4.3765 1.1847 9.3208
```

Properties
* total magnetic moment: 8.000 μB per cell
* DFT total energy: -5.71 eV/atom
* space-group type: Fddd, No. 70

=====

Here is TlCr2GeO8 after structural relaxation from Alexandria via LeMat-Bulk. Energies are from GGA+U.

```
12
Lattice="5.1270 -0.0954 0.0906 2.2805 4.5929 0.0906 0.4732 0.2873 8.0036" Properties=species:S:1:pos:R:3 pbc="T T T"
O 4.6549 1.1644 1.4542
O 2.6343 1.5994 4.9829
O 3.1804 3.5929 1.4542
O 4.7003 1.1919 6.7305
Cr 3.1436 1.9087 6.4984
Tl 0.2366 0.1437 4.0018
O 5.8145 3.5304 0.5385
Cr 4.7371 2.8762 1.6863
O 3.2258 3.6205 6.7305
O 5.2464 3.1854 3.2018
O 2.0662 1.2545 7.6462
Ge 0.0000 0.0000 0.0000
```

Properties
* total magnetic moment: 1.000 μB per cell
* DFT total energy: -6.37 eV/atom
* space-group type: C2/m, No. 12

=====

Here is Tl2CrGeO6 after structural relaxation from Alexandria via LeMat-Bulk. Energies are from GGA+U.

```
10
Lattice="5.4794 0.0274 0.0241 2.7631 4.7520 0.0172 2.7668 1.5978 4.5183" Properties=species:S:1:pos:R:3 pbc="T T T"
O 2.4636 2.9523 1.5974
Tl 2.7277 1.6614 3.6237
O 4.4469 5.1140 1.3498
O 5.8003 1.8320 3.4127
O 4.3865 1.0194 1.1070
Cr 8.2532 4.7820 2.5257
Ge 2.7485 1.5934 0.2457
O 3.8773 3.7656 3.9031
O 6.5795 4.4222 3.6765
Tl 5.5365 3.1234 1.3869
```

Properties
* total magnetic moment: 2.947 μB per cell
* DFT total energy: -5.81 eV/atom
* space-group type: C2/m, No. 12

=====

Here is Tl2CrGe2O6 after structural relaxation from Alexandria via LeMat-Bulk. Energies are from GGA+U.

```
11
Lattice="5.8438 0.0000 0.0000 2.9219 5.0609 0.0000 2.9219 1.6870 5.7242" Properties=species:S:1:pos:R:3 pbc="T T T"
O 5.8438 5.1074 4.4919
Ge 5.8438 3.3739 4.2892
O 5.8438 1.6405 1.2322
O 4.3426 2.5072 4.4919
Tl 8.7657 5.0609 3.6297
O 7.3451 2.5072 4.4919
Tl 2.9219 1.6870 2.0944
Cr 0.0000 0.0000 0.0000
Ge 5.8438 3.3739 1.4350
O 7.3451 4.2407 1.2322
O 4.3426 4.2407 1.2322
```

Properties
* total magnetic moment: 3.977 μB per cell
* DFT total energy: -5.87 eV/atom
* space-group type: R-3m, No. 166

=====

Here is TlCrGeO6 after structural relaxation from Alexandria via LeMat-Bulk. Energies are from GGA+U.

```
18
Lattice="-3.3592 -2.4593 2.1492 0.2512 -3.2685 -3.3475 6.5289 -4.5810 4.9629" Properties=species:S:1:pos:R:3 pbc="T T T"
Cr 1.7359 -5.1723 1.9017
O 5.4865 -6.1103 4.5033
O 3.3361 -4.9279 2.9168
Ge 2.1710 -1.5233 1.6503
Ge 3.8815 -6.6777 3.5326
O -1.6467 -3.3629 2.0263
O 1.4329 -3.2447 1.4188
O 5.0457 -7.0064 2.0840
Cr 0.0255 -0.0179 0.0194
O 3.0011 -6.5481 5.1969
Tl 4.3666 -3.0638 3.3192
O 2.5885 -5.2777 0.1940
O 4.1554 -8.5634 3.9901
O 0.0850 -5.7288 0.8992
O 0.7155 -3.8923 -1.5699
Tl -0.4519 -3.6372 0.2387
O 2.2616 -6.9082 2.5025
O 0.5244 -4.8150 3.3365
```

Properties
* total magnetic moment: 1.991 μB per cell
* DFT total energy: -5.99 eV/atom
* space-group type: P4_2nm, No. 102

=====

Here is TmCr2GeO6 after structural relaxation from Alexandria via LeMat-Bulk. Energies are from GGA+U.

```
10
Lattice="-1.6794 -0.4713 4.9394 -1.4221 -4.6570 1.7665 3.4577 -2.4273 3.8969" Properties=species:S:1:pos:R:3 pbc="T T T"
Tm -0.4967 -5.5324 7.7164
O -0.5276 -1.8980 4.2141
Ge -0.8726 -1.7368 2.3119
O 0.9840 -5.3304 6.1608
O -1.6528 -3.7995 6.6461
O 1.3631 -2.7859 6.8152
O 1.8428 -3.7067 4.3364
O -0.9443 -5.1803 3.5918
Cr 3.3191 -2.4127 3.8399
Cr -0.1324 -3.6967 5.1718
```

Properties
* total magnetic moment: 7.000 μB per cell
* DFT total energy: -7.57 eV/atom
* space-group type: P1, No. 1

=====

Here is UCrGeO6 after structural relaxation from Alexandria via LeMat-Bulk. Energies are from GGA+U.

```
18
Lattice="5.2335 0.0000 0.0000 -2.6167 4.5323 0.0000 0.0000 0.0000 8.7494" Properties=species:S:1:pos:R:3 pbc="T T T"
O 0.8779 4.3855 3.2610
U 0.0000 3.0216 6.5621
O 1.6202 3.0999 1.1137
O -0.8779 4.3855 1.1137
O 1.8745 2.9530 5.4884
Ge 2.6167 1.5108 6.5621
O 4.2369 1.4325 5.4884
O 3.4946 0.1468 7.6357
O -1.6202 3.0999 3.2610
Ge 0.0000 3.0216 2.1874
O -0.7423 1.5793 1.1137
Cr 0.0000 0.0000 4.3747
O 1.7388 0.1468 5.4884
Cr 0.0000 0.0000 0.0000
O 3.3590 2.9530 7.6357
O 0.7423 1.5793 3.2610
U 2.6167 1.5108 2.1874
O 0.9966 1.4325 7.6357
```

Properties
* total magnetic moment: 4.000 μB per cell
* DFT total energy: -7.93 eV/atom
* space-group type: P-31c, No. 163

=====

Here is VCr2GeO6 after structural relaxation from Alexandria via LeMat-Bulk. Energies are from GGA+U.

```
10
Lattice="-3.2727 0.3407 -3.9049 -2.8791 -4.0196 -1.2762 -5.3324 0.2112 1.1494" Properties=species:S:1:pos:R:3 pbc="T T T"
O -7.4173 -2.5503 -1.6034
O -5.6348 -1.4159 -0.1370
O -3.8951 -0.6860 -2.3440
Ge -2.2111 -1.1559 -1.5862
O -4.7265 -3.6180 -1.8269
Cr -5.5859 -1.8023 -2.1528
O -6.0402 -2.0210 -4.1244
V -7.9629 -2.8856 -3.5935
Cr -5.2026 0.1544 1.0357
O -6.7437 -0.1097 -2.0548
```

Properties
* total magnetic moment: 6.964 μB per cell
* DFT total energy: -7.42 eV/atom
* space-group type: R3, No. 146

=====

Here is VCrGe2O8 after structural relaxation from Alexandria via LeMat-Bulk. Energies are from GGA+U.

```
12
Lattice="5.5552 0.6287 0.0000 -1.9004 5.2577 0.0000 -1.8274 -2.9432 4.3879" Properties=species:S:1:pos:R:3 pbc="T T T"
O 0.1812 -1.4887 3.4487
O 2.9537 -1.1776 3.1305
O 2.6015 1.8062 3.1305
O 3.2420 3.4411 0.9392
O 1.3624 -0.1895 1.2574
V -0.9502 2.6289 2.1939
O -0.1812 1.4887 3.4487
O 0.4128 2.4453 0.9392
O 4.1928 0.8182 1.2574
Ge 2.7776 0.3143 2.1939
Cr 0.0000 0.0000 0.0000
Ge 1.8274 2.9432 0.0000
```

Properties
* total magnetic moment: 3.000 μB per cell
* DFT total energy: -6.71 eV/atom
* space-group type: I-4m2, No. 119

=====

Here is YCr2GeO6 after structural relaxation from Alexandria via LeMat-Bulk. Energies are from GGA+U.

```
10
Lattice="-4.4395 0.5129 -2.8222 -1.1525 -3.3857 -3.8646 -4.0499 -3.7272 1.1372" Properties=species:S:1:pos:R:3 pbc="T T T"
O -6.4067 -2.9802 -1.6879
O -3.8443 -1.3028 -2.3059
Ge -1.9416 -1.0492 -2.0957
O -3.0481 -3.9353 -4.0801
Y -6.8525 -4.4894 -4.6639
O -5.5725 -5.0608 -2.9575
O -4.1655 -4.1295 -0.8799
Cr -3.9963 -3.6464 1.0354
Cr -4.6400 -3.1338 -3.0212
O -5.9114 -2.3572 -4.8108
```

Properties
* total magnetic moment: 7.000 μB per cell
* DFT total energy: -7.74 eV/atom
* space-group type: P1, No. 1